# Cs2BiN (PBE-GGA, optimized geometry)
# - Raw total energy: -3.1350 eV per atom
# - Crystal system: tetragonal
# - Formation energy without anion corrections: 343 meV per atom
data_Cs2BiN
_cell_length_a 13.124
_cell_length_b 13.124
_cell_length_c 4.620
_cell_angle_alpha 90.00
_cell_angle_beta 90.00
_cell_angle_gamma 90.00
_space_group_name_H-M_alt 'I -4 2 d'
_space_group_IT_number 122
_space_group_name_Hall 'I -4 2bw'
loop_
_atom_site_label
_atom_site_fract_x
_atom_site_fract_y
_atom_site_fract_z
_atom_site_occupancy
Cs1 0.048 0.250 0.125 1
Bi1 0.000 0.000 0.500 1
N1 0.000 0.000 0.000 1